[1]
Entry from the Alexandria database: KSi2Se after structural relaxation (GGA-PBE).

Total magnetization (μB/cell): 0.0

Lattice parameters (Å, degrees): 8.1904 8.1904 6.5318 51.17 51.17 90.00
Last column: nearest neighbours and their distance in Å.
Fractional coordinates of all 8 atoms:
K 0.2500 0.7500 0.5000  2 Se 3.02, 4 Si 3.34
K 0.5000 0.5000 0.0000  2 Se 3.02, 4 Si 3.34
Si 0.8750 0.9339 0.7500  2 Se 2.69
Si 0.6839 0.1250 0.2500  2 Se 2.69
Si 0.3750 0.3161 0.7500  2 Se 2.69
Si 0.0661 0.6250 0.2500  2 Se 2.69
Se 0.7500 0.2500 0.5000  4 Si 2.69
Se 0.0000 0.0000 0.0000  4 Si 2.69


[2]
Entry from the Alexandria database: K2SiSnSe4 after structural relaxation (GGA-PBE).

Total magnetization (μB/cell): 0.0

Lattice parameters (Å, degrees): 8.6270 8.6270 8.9525 121.26 121.26 91.23
Last column: nearest neighbours and their distance in Å.
Fractional coordinates of all 16 atoms:
Se 0.8108 0.2056 0.0082  1 Si 2.43
Se 0.1892 0.7944 0.9918  1 Si 2.43
Se 0.2460 0.2542 0.4453  2 Si 2.67
Se 0.2944 0.6892 0.4918  1 Si 2.43
Se 0.7542 0.7460 0.9453  2 Si 2.67
Se 0.2458 0.2540 0.0547  2 Si 2.67
Se 0.7056 0.3108 0.5082  1 Si 2.43
Se 0.7540 0.7458 0.5547  2 Si 2.67
Sn 0.0000 0.5000 0.5000  6 Se 3.04-3.07
Sn 0.0000 0.5000 0.0000  6 Se 3.04-3.07
K 0.5000 0.0000 0.0000  6 Se 3.13-3.17
K 0.5000 0.0000 0.5000  6 Se 3.13-3.17
K 0.0000 0.0000 0.5000  6 Se 3.40-3.73
K 0.5000 0.5000 0.0000  6 Se 3.40-3.73
Si 0.5000 0.5000 0.5000  6 Se 2.43-2.67
Si 0.0000 0.0000 0.0000  6 Se 2.43-2.67


Listing calculated total energy for the structures above in their given order: -3.479; -3.751 eV per atom.
Listing density for the structures above in their given order: 2.86; 4.02 Mg/m³.